The following is a PBE calculation of a relaxed structure of ScFeMo3, from Alexandria.

Cell lengths 4.5138, 4.5138, 4.5138 Å; angles 90.00, 90.00, 90.00 degrees
Atoms (fractional coordinates):
Sc1 0.5000 0.5000 0.5000
Mo1 0.0000 0.5000 0.0000
Mo2 0.0000 0.0000 0.5000
Mo3 0.5000 0.0000 0.0000
Fe1 0.0000 0.0000 0.0000

Values from the calculation:
- energy above the lowest structure with this stoichiometry (eV per atom) = 0.000
- space-group type = Pm-3m, No. 221
- formation energy from the elements (eV per atom) = 0.8106
- raw total energy (eV per atom) = -8.65